Record 1
First-principles (PBE) data for a relaxed structure of TaRe4Se8, as listed in Alexandria.

abc: 7.468 7.468 7.080
angles: 90.00 121.83 120.00
Last column: magnetic moment on the atom in μB.
Element x y z (fractional)
Se 0.499 0.749 0.248  0.04
Se 0.000 0.754 0.753  0.02
Se 0.000 0.246 0.247  0.02
Se 0.507 0.754 0.753  0.02
Se 0.501 0.251 0.752  0.04
Se 0.000 0.754 0.247  0.02
Se 0.000 0.246 0.753  0.02
Se 0.493 0.246 0.247  0.02
Re 0.000 0.500 0.000  1.18
Re 0.500 0.000 0.000  1.18
Re 0.500 0.500 0.000  1.18
Re 0.000 0.000 0.000  1.45
Ta 0.000 0.500 0.500  -0.12

Output
**Space group**: R-3m (166)
**Final energy**: -6.702 eV/atom
**M_tot**: 5.74 μB/cell

=====

Record 2
First-principles (PBE) data for a relaxed structure of FeAgRu2Au, as listed in Alexandria.

abc: 4.915 4.693 4.915
angles: 90.00 90.00 90.00
Last column: magnetic moment on the atom in μB.
Element x y z (fractional)
Au 0.000 0.000 0.000  0.27
Ag 0.500 0.500 0.500  0.01
Fe 0.000 0.500 0.000  3.23
Ru 0.500 0.000 0.000  1.50
Ru 0.000 0.000 0.500  2.24

Output
**Space group**: P4/mmm (123)
**Formation energy**: 1.86 eV per atom
**M_tot**: 7.39 μB/cell

=====

Record 3
First-principles (PBE) data for a relaxed structure of UAg2Se4, as listed in Alexandria.

abc: 8.642 7.723 7.723
angles: 67.58 55.98 55.98
Last column: magnetic moment on the atom in μB.
Element x y z (fractional)
Ag 0.500 0.000 0.000  -0.02
Ag 0.959 0.791 0.291  -0.01
Ag 0.500 0.500 0.500  -0.02
Ag 0.041 0.209 0.709  -0.01
Se 0.672 0.782 0.282  -0.05
Se 0.212 0.747 0.829  -0.05
Se 0.788 0.253 0.171  -0.05
Se 0.328 0.218 0.718  -0.05
Se 0.212 0.329 0.247  -0.05
Se 0.788 0.671 0.753  -0.05
Se 0.735 0.218 0.718  -0.05
Se 0.265 0.782 0.282  -0.05
U 0.000 0.500 0.000  0.92
U 0.500 0.500 0.000  0.92

Output
**Space group**: Imma (74)
**Final energy**: -4.954 eV/atom
**M_tot**: 1.24 μB/cell